The following is a SCAN calculation of a crystal of CrAs2Cl relaxed with PBEsol, from Alexandria via LeMat-Bulk.

POSCAR file:
```
CrAs2Cl
1.0
4.870 0.000 0.000
0.000 4.870 0.000
0.000 0.000 2.905
Cr As Cl
1 2 1
direct
0.000 0.000 0.000
0.000 0.500 0.500
0.500 0.000 0.500
0.500 0.500 0.000
```

Computed properties:
size of the total moment = 3.85 μB per formula unit
crystal system = tetragonal
energy above the lowest structure with this stoichiometry = 60.07 kJ/mol of atoms

The following is a SCAN calculation of a crystal of CrRh2 relaxed with PBEsol, from Alexandria via LeMat-Bulk.

POSCAR file:
```
CrRh2
1.0
2.632 0.000 0.000
-1.316 2.279 0.000
0.000 0.000 6.384
Cr Rh
1 2
direct
0.000 0.000 0.000
0.333 0.667 0.317
0.667 0.333 0.683
```

Computed properties:
size of the total moment = 0.57 μB per formula unit
DFT formation energy = -0.2 eV per formula unit
crystal system = trigonal

The following is a SCAN calculation of a crystal of AgOsPb2 relaxed with PBEsol, from Alexandria via LeMat-Bulk.

POSCAR file:
```
AgOsPb2
1.0
3.408 0.000 0.000
0.000 4.472 0.000
0.000 0.000 5.415
Ag Os Pb
1 1 2
direct
0.000 0.000 0.000
0.500 0.000 0.500
0.000 0.500 0.500
0.500 0.500 0.000
```

Computed properties:
size of the total moment = 0.00 μB per formula unit
DFT formation energy = 3.7 eV per formula unit
crystal system = orthorhombic
energy above the lowest structure with this stoichiometry = 21.68 kJ/mol of atoms

The following is a SCAN calculation of a crystal of Bi2TeSe2 relaxed with PBEsol, from Alexandria via LeMat-Bulk.

POSCAR file:
```
Bi2TeSe2
1.0
2.105 1.215 9.703
-2.105 1.215 9.703
0.000 -2.431 9.703
Bi Te Se
2 1 2
direct
0.000 0.000 0.000
0.205 0.205 0.205
0.395 0.395 0.395
0.601 0.601 0.601
0.819 0.819 0.819
```

Computed properties:
size of the total moment = 0.00 μB per formula unit
crystal system = trigonal
calculated total energy = -236.0 eV per cell

Calculated values (g/cm3) of mass density for the records, taken in order: 5.72 11.18 14.34 7.84.